First-principles (PBE) data for crystalline YCu3S3 at its relaxed geometry, as listed in the Alexandria database.

a b c (Å): 6.7019 6.7019 19.1526
angles (deg): 90.00 90.00 120.00
Space group R-3 (No. 148, hexagonal axes)
Inequivalent atoms, fractional coordinates:
Y 0.0000 0.0000 0.1664 (multiplicity 6)
Cu 0.0001 0.3407 0.6231 (multiplicity 18)
S 0.0009 0.3323 0.4161 (multiplicity 18)

Calculated values
M_tot = 0.00 μB per cell
energy = -5.304 eV/atom
formation energy without anion corrections = -856.2 meV/atom